Entry 1:
{"formula": "Ba2Ag3SnSb4", "functional": "PBE", "state": "optimized geometry", "space_group": "No. 115", "raw_formation_energy_ev_per_atom": -0.451, "lattice_angstrom": [[5.145, 0.000, 0.000], [0.000, 5.145, 0.000], [0.000, 0.000, 11.173]], "species": ["Ba", "Ba", "Ag", "Ag", "Ag", "Sn", "Sb", "Sb", "Sb", "Sb"], "fractional_positions": [[0.000, 0.500, 0.243], [0.500, 0.000, 0.757], [0.000, 0.500, 0.881], [0.500, 0.000, 0.119], [0.500, 0.500, 0.500], [0.000, 0.000, 0.500], [0.000, 0.000, 0.000], [0.000, 0.500, 0.631], [0.500, 0.000, 0.369], [0.500, 0.500, 0.000]]}

---

Entry 2:
{"formula": "PrLuMnAl", "functional": "PBE", "state": "optimized geometry", "space_group": "No. 216", "delta_e_f_ev_per_atom": -0.030, "lattice_angstrom": [[0.000, 3.626, 3.626], [3.626, 0.000, 3.626], [3.626, 3.626, 0.000]], "species": ["Pr", "Lu", "Mn", "Al"], "fractional_positions": [[0.000, 0.000, 0.000], [0.500, 0.500, 0.500], [0.250, 0.250, 0.250], [0.750, 0.750, 0.750]]}

---

Entry 3:
{"formula": "LiTa2Si", "functional": "PBE", "state": "optimized geometry", "space_group": "No. 122", "raw_formation_energy_ev_per_atom": 0.399, "lattice_angstrom": [[-3.484, 3.484, 2.711], [3.484, -3.484, 2.711], [3.484, 3.484, -2.711]], "species": ["Li", "Li", "Ta", "Ta", "Ta", "Ta", "Si", "Si"], "fractional_positions": [[0.000, 0.000, 0.000], [0.750, 0.250, 0.500], [0.131, 0.625, 0.006], [0.375, 0.381, 0.506], [0.619, 0.125, 0.994], [0.875, 0.869, 0.494], [0.250, 0.750, 0.500], [0.500, 0.500, 0.000]]}